Run A
Compound: BaLi2GePd
Source: Alexandria
Functional: PBE-GGA
Structure: relaxed

The structure in extended XYZ format:
```
5
Lattice="-1.7409 -4.1425 1.9864 2.9509 0.6198 3.8788 -3.5580 2.5945 2.2924" Properties=species:S:1:pos:R:3 pbc="T T T"
Ge 0.0000 0.0000 0.0000
Ba -1.1740 -0.4642 4.0787
Pd -1.7790 1.2972 1.1462
Li 1.4755 0.3099 1.9394
Li -0.8704 -2.0713 0.9932
```

Output
For the total magnetic moment, the calculation gives 0.000 μB/f.u. The space-group type is P4/mmm, No. 123. Its crystal system is tetragonal. Its density is 4.58 g/cm3. The calculation puts the volume at 23.97 A^3/atom.



Run B
Compound: BaLi2GePd
Source: Alexandria
Functional: PBE-GGA
Structure: relaxed

The structure in extended XYZ format:
```
5
Lattice="5.0034 0.0000 0.0000 0.0000 5.0034 0.0000 0.0000 0.0000 4.8116" Properties=species:S:1:pos:R:3 pbc="T T T"
Ge 0.0000 0.0000 2.4058
Ba 2.5017 2.5017 2.4058
Pd 0.0000 0.0000 0.0000
Li 0.0000 2.5017 0.0000
Li 2.5017 0.0000 0.0000
```

Output
For the total magnetic moment, the calculation gives 0.000 μB/f.u. The space-group type is P4/mmm, No. 123. Its crystal system is tetragonal. Its density is 4.55 g/cm3. The calculation puts the volume at 24.09 A^3/atom.



Name the most stable of them. run B.



Run A
Compound: BaLi2GeRh
Source: Alexandria
Functional: PBE-GGA
Structure: relaxed

The structure in extended XYZ format:
```
5
Lattice="4.9588 0.0000 0.0000 0.0000 4.9588 0.0000 0.0000 0.0000 4.7508" Properties=species:S:1:pos:R:3 pbc="T T T"
Ge 0.0000 0.0000 2.3754
Rh 0.0000 0.0000 0.0000
Ba 2.4794 2.4794 2.3754
Li 0.0000 2.4794 0.0000
Li 2.4794 0.0000 0.0000
```

Output
For the total magnetic moment, the calculation gives 0.000 μB/f.u. The space-group type is P4/mmm, No. 123. Its crystal system is tetragonal. Its density is 4.64 g/cm3. The calculation puts the volume at 23.36 A^3/atom.



Run B
Compound: BaLi2GeRh
Source: Alexandria
Functional: PBE-GGA
Structure: relaxed

The structure in extended XYZ format:
```
5
Lattice="4.8743 0.0000 0.0000 0.0000 4.8743 0.0000 0.0000 0.0000 4.8417" Properties=species:S:1:pos:R:3 pbc="T T T"
Ge 0.0000 0.0000 0.0000
Rh 0.0000 0.0000 2.4209
Ba 2.4371 2.4371 2.4209
Li 0.0000 2.4371 0.0000
Li 2.4371 0.0000 0.0000
```

Output
For the total magnetic moment, the calculation gives 0.000 μB/f.u. The space-group type is P4/mmm, No. 123. Its crystal system is tetragonal. Its density is 4.72 g/cm3. The calculation puts the volume at 23.01 A^3/atom.



Name the most stable of them. run A.